VASP calculation (PBE) on an optimized crystal structure of CsTa3Sn.

Geometry as extended XYZ:
```
5
Lattice="5.274 0.000 0.000 0.000 5.274 0.000 0.000 0.000 5.274" Properties=species:S:1:pos:R:3 pbc="T T T"
Cs 2.637 2.637 2.637
Sn 0.000 0.000 0.000
Ta 0.000 2.637 0.000
Ta 0.000 0.000 2.637
Ta 2.637 0.000 0.000
```

Summary:
**Energy of formation from the pure elements**: 2.25 eV/atom
**ΔE to the lowest computed polymorph**: 0 meV/atom
**SG**: No. 221